Entry from Alexandria via LeMat-Bulk: crystalline Dy5ErTmTh2 at its relaxed geometry (PBE-GGA).

Summary:
- symmetry = No. 140
- E (eV/atom) = -4.859

Cell: 9.942 9.942 9.942 Å, 128.34 128.34 76.08°
Positions (direct):
1 Dy 0.000 0.000 0.000
2 Dy 0.071 0.571 0.924
3 Dy 0.147 0.071 0.500
4 Dy 0.353 0.853 0.924
5 Dy 0.429 0.353 0.500
6 Dy 0.500 0.500 0.000
7 Dy 0.571 0.647 0.500
8 Dy 0.647 0.147 0.076
9 Dy 0.853 0.929 0.500
10 Dy 0.929 0.429 0.076
11 Er 0.250 0.250 0.000
12 Er 0.750 0.750 0.000
13 Tm 0.250 0.750 0.500
14 Tm 0.750 0.250 0.500
15 Th 0.120 0.380 0.500
16 Th 0.380 0.880 0.260
17 Th 0.620 0.120 0.740
18 Th 0.880 0.620 0.500



Entry from Alexandria via LeMat-Bulk: crystalline Dy2Er3Tm6Th at its relaxed geometry (PBE-GGA).

Summary:
- symmetry = No. 12
- E (eV/atom) = -4.735

Cell: 6.084 6.084 11.624 Å, 95.01 95.01 119.96°
Positions (direct):
1 Dy 0.167 0.833 0.000
2 Dy 0.833 0.167 0.000
3 Er 0.000 0.000 0.500
4 Er 0.333 0.667 0.500
5 Er 0.667 0.333 0.500
6 Tm 0.086 0.416 0.749
7 Tm 0.254 0.254 0.251
8 Tm 0.416 0.086 0.749
9 Tm 0.584 0.914 0.251
10 Tm 0.746 0.746 0.749
11 Tm 0.914 0.584 0.251
12 Th 0.500 0.500 0.000